No. 1
8
Lattice="6.9072 0.0000 0.0000 0.0000 6.9072 0.0000 3.4536 3.4536 5.7892" Properties=species:S:1:pos:R:3 comment="PBE-GGA LiZrI2, relaxed" de_polymorph_mev_per_atom=25 density_g_cm3=4.23 vol_a3_per_atom=34.5 pbc="T T T"
I 8.6339 8.4464 4.3419
I 1.9144 5.1804 1.4473
I 4.9928 1.7268 1.4473
I 5.1804 5.3679 4.3419
Zr 6.9072 3.4536 2.8946
Zr 0.0000 0.0000 0.0000
Li 3.4536 6.9072 2.8946
Li 3.4536 3.4536 0.0000



No. 2
20
Lattice="-1.9951 -2.4469 -0.9401 6.0196 -2.0988 -7.3120 4.8323 -6.1465 5.7425" Properties=species:S:1:pos:R:3 comment="PBE-GGA Mg2Si2AgRh5, relaxed" density_g_cm3=7.79 vol_a3_per_atom=15.5 final_energy_ev_per_atom=-5.915 pbc="T T T"
Rh 2.0123 -2.2728 -4.1260
Rh 5.3575 -5.3495 -3.2176
Rh 5.8853 -6.8000 -0.5626
Rh 0.6258 -2.1100 -1.6078
Rh 3.2427 -6.2175 3.5296
Rh 2.9714 -3.8922 -1.9470
Rh 1.4186 -4.2967 2.4012
Rh 5.6141 -4.4746 -6.0393
Rh 3.4993 -5.3426 0.7079
Rh 8.2310 -8.5822 -0.9019
Mg 5.9743 -5.7767 2.3566
Mg 2.6205 -2.3766 0.6244
Mg 4.8776 -2.4685 -3.9261
Mg 8.2314 -5.8687 -2.1939
Si 3.8261 -4.1445 2.6673
Si 7.0258 -4.1008 -4.2368
Si 7.9963 -6.6700 0.3904
Si 2.8555 -1.5753 -1.9599
Ag 5.4259 -4.1226 -0.7847
Ag 0.0000 0.0000 0.0000



No. 3
7
Lattice="-1.8625 -2.7746 -2.3911 -2.8445 -1.6967 4.1845 -4.5059 2.8526 0.1995" Properties=species:S:1:pos:R:3 comment="PBE-GGA Re4Tc2Ru, relaxed" density_g_cm3=15.55 formation_enthalpy_0k_ev_per_atom=0.410 vol_a3_per_atom=15.9 pbc="T T T"
Re -2.0666 0.3250 1.2326
Re -5.2838 0.8309 3.1515
Re -3.1842 0.0390 -1.0958
Re -2.3535 -2.2357 0.8967
Tc -4.1731 1.9414 0.9977
Tc -3.1773 -0.7855 3.3863
Ru -4.6064 -0.8094 0.9965